Computed, not measured: a relaxed structure of Cd2Ga2As at the PBE-GGA level of DFT.

Summary:
E = -2.382 eV per atom
crystal system = tetragonal
polymorph energy (0 for the lowest one) = 0 meV per atom
N(E_F) = 5.170 states/eV/cell

Unit cell a=7.010 b=7.010 c=4.452 alpha=90.00 beta=90.00 gamma=90.00
Sites, in units of the cell vectors:
Cd1 0.172 0.328 0.000
Cd2 0.328 0.828 0.000
Cd3 0.672 0.172 0.000
Cd4 0.828 0.672 0.000
Ga1 0.138 0.638 0.500
Ga2 0.362 0.138 0.500
Ga3 0.638 0.862 0.500
Ga4 0.862 0.362 0.500
As1 0.000 0.000 0.500
As2 0.500 0.500 0.500

***

Computed, not measured: a relaxed structure of Cd2Ga2As at the PBE-GGA level of DFT.

Summary:
E = -2.354 eV per atom
crystal system = tetragonal
polymorph energy (0 for the lowest one) = 28 meV per atom
N(E_F) = 3.473 states/eV/cell

Unit cell a=8.373 b=8.373 c=3.060 alpha=90.00 beta=90.00 gamma=90.00
Sites, in units of the cell vectors:
Cd1 0.187 0.313 0.000
Cd2 0.313 0.813 0.000
Cd3 0.687 0.187 0.000
Cd4 0.813 0.687 0.000
Ga1 0.114 0.614 0.500
Ga2 0.386 0.114 0.500
Ga3 0.614 0.886 0.500
Ga4 0.886 0.386 0.500
As1 0.000 0.000 0.000
As2 0.500 0.500 0.000

***

Computed, not measured: a relaxed structure of Cd2Ga2As at the PBE-GGA level of DFT.

Summary:
E = -2.253 eV per atom
crystal system = tetragonal
polymorph energy (0 for the lowest one) = 128 meV per atom
N(E_F) = 3.687 states/eV/cell

Unit cell a=4.200 b=4.200 c=12.505 alpha=90.00 beta=90.00 gamma=90.00
Sites, in units of the cell vectors:
Cd1 0.000 0.500 0.250
Cd2 0.000 0.500 0.750
Cd3 0.500 0.000 0.250
Cd4 0.500 0.000 0.750
Ga1 0.000 0.000 0.096
Ga2 0.000 0.000 0.904
Ga3 0.500 0.500 0.404
Ga4 0.500 0.500 0.596
As1 0.000 0.000 0.500
As2 0.500 0.500 0.000

***

Computed, not measured: a relaxed structure of CdGa3As at the PBE-GGA level of DFT.

Summary:
E = -2.584 eV per atom
crystal system = cubic
polymorph energy (0 for the lowest one) = 0 meV per atom
N(E_F) = 2.075 states/eV/cell

Unit cell a=5.056 b=5.056 c=5.056 alpha=90.00 beta=90.00 gamma=90.00
Sites, in units of the cell vectors:
Cd1 0.000 0.000 0.000
Ga1 0.000 0.500 0.500
Ga2 0.500 0.000 0.500
Ga3 0.500 0.500 0.000
As1 0.500 0.500 0.500

***

Computed, not measured: a relaxed structure of Cd2GaAsH at the PBE-GGA level of DFT.

Summary:
E = -2.265 eV per atom
crystal system = tetragonal
N(E_F) = 1.660 states/eV/cell

Unit cell a=4.931 b=4.931 c=3.847 alpha=90.00 beta=90.00 gamma=90.00
Sites, in units of the cell vectors:
Cd1 0.000 0.500 0.000
Cd2 0.500 0.000 0.000
Ga1 0.000 0.000 0.500
As1 0.500 0.500 0.500
H1 0.500 0.500 0.000

***

Computed, not measured: a relaxed structure of CdGaAsO6 at the PBE-GGA level of DFT.

Summary:
uncorrected formation energy = -1025 meV/atom
E = -5.285 eV per atom
crystal system = trigonal
N(E_F) = 9.823 states/eV/cell

Unit cell a=5.126 b=5.126 c=9.417 alpha=90.00 beta=90.00 gamma=120.00
Sites, in units of the cell vectors:
Cd1 0.000 0.000 0.000
Cd2 0.000 0.000 0.500
Ga1 0.333 0.667 0.250
Ga2 0.667 0.333 0.750
As1 0.333 0.667 0.750
As2 0.667 0.333 0.250
O1 0.021 0.377 0.641
O2 0.021 0.644 0.859
O3 0.356 0.377 0.859
O4 0.356 0.979 0.641
O5 0.377 0.021 0.141
O6 0.377 0.356 0.359
O7 0.623 0.644 0.641
O8 0.623 0.979 0.859
O9 0.644 0.021 0.359
O10 0.644 0.623 0.141
O11 0.979 0.356 0.141
O12 0.979 0.623 0.359

***

Among the records above, which one has the lowest N(E_F)?
Cd2GaAsH